Entry 1:
Here is a geometry-optimized AlTlCu2 structure from the Alexandria database. Energies are from GGA-PBE.

a = 9.1423 Å, b = 9.1423 Å, c = 9.1423 Å
α = 153.21°, β = 153.21°, γ = 38.25°
Positions (direct):
1 Al 0.0000 0.0000 0.0000
2 Al 0.7500 0.2500 0.5000
3 Tl 0.2500 0.7500 0.5000
4 Tl 0.5000 0.5000 0.0000
5 Cu 0.0294 0.6250 0.9044
6 Cu 0.3750 0.2794 0.4044
7 Cu 0.7206 0.1250 0.0956
8 Cu 0.8750 0.9706 0.5956

* relative energy among the computed polymorphs: 202 meV per atom
* energy: -26.142 eV for the cell shown
* space group: I-42d, No. 122
* energy of formation: 0.308 eV per atom

---

Entry 2:
Here is a geometry-optimized LiNiHg2P structure from the Alexandria database. Energies are from GGA-PBE.

a = 5.0450 Å, b = 5.0450 Å, c = 4.2615 Å
α = 90.00°, β = 90.00°, γ = 90.00°
Positions (direct):
1 Li 0.0000 0.0000 0.0000
2 Ni 0.5000 0.5000 0.5000
3 Hg 0.0000 0.5000 0.5000
4 Hg 0.5000 0.0000 0.5000
5 P 0.5000 0.5000 0.0000

* energy: -13.474 eV for the cell shown
* space group: P4/mmm, No. 123
* energy of formation: 0.047 eV per atom

---

Entry 3:
Here is a geometry-optimized Tb3Si2AsRh9 structure from the Alexandria database. Energies are from GGA-PBE.

a = 6.1808 Å, b = 6.1808 Å, c = 8.6106 Å
α = 90.00°, β = 90.00°, γ = 120.00°
Positions (direct):
1 Tb 0.0000 0.0000 0.0000
2 Tb 0.3333 0.6667 0.7140
3 Tb 0.6667 0.3333 0.2860
4 Si 0.3333 0.6667 0.1712
5 Si 0.6667 0.3333 0.8288
6 As 0.0000 0.0000 0.5000
7 Rh 0.0000 0.5000 0.0000
8 Rh 0.1472 0.2944 0.2854
9 Rh 0.1472 0.8528 0.2854
10 Rh 0.2944 0.1472 0.7146
11 Rh 0.5000 0.0000 0.0000
12 Rh 0.5000 0.5000 0.0000
13 Rh 0.7056 0.8528 0.2854
14 Rh 0.8528 0.1472 0.7146
15 Rh 0.8528 0.7056 0.7146

* energy: -104.597 eV for the cell shown
* ΔE_f (raw): -0.60 eV per atom
* space group: P-3m1, No. 164

---

Entry 4:
Here is a geometry-optimized La2YScP4 structure from the Alexandria database. Energies are from GGA-PBE.

a = 7.0628 Å, b = 4.0924 Å, c = 7.0779 Å
α = 90.00°, β = 109.52°, γ = 90.00°
Positions (direct):
1 La 0.0000 0.0000 0.0000
2 La 0.0000 0.5000 0.5000
3 Y 0.5000 0.0000 0.5000
4 Sc 0.5000 0.5000 0.0000
5 P 0.2685 0.5000 0.2495
6 P 0.2731 0.0000 0.7643
7 P 0.7269 0.0000 0.2357
8 P 0.7315 0.5000 0.7505

* energy: -56.461 eV for the cell shown
* space group: P2/m, No. 10
* energy of formation: -1.521 eV per atom

---

Entry 5:
Here is a geometry-optimized NaGa2P structure from the Alexandria database. Energies are from GGA-PBE.

a = 8.9027 Å, b = 8.9027 Å, c = 8.9027 Å
α = 24.12°, β = 24.12°, γ = 24.12°
Positions (direct):
1 Na 0.0000 0.0000 0.0000
2 Ga 0.1137 0.1137 0.1137
3 Ga 0.8863 0.8863 0.8863
4 P 0.5000 0.5000 0.5000

* energy: -12.893 eV for the cell shown
* space group: R-3m, No. 166
* energy of formation: -0.028 eV per atom

---

Entry 6:
Here is a geometry-optimized HoPaPS structure from the Alexandria database. Energies are from GGA-PBE.

a = 7.3219 Å, b = 7.3219 Å, c = 7.3219 Å
α = 30.20°, β = 30.20°, γ = 30.20°
Positions (direct):
1 Ho 0.0000 0.0000 0.0000
2 Pa 0.1781 0.1781 0.1781
3 P 0.5898 0.5898 0.5898
4 S 0.7560 0.7560 0.7560

* energy: -29.634 eV for the cell shown
* ΔE_f (raw): -1.51 eV per atom
* space group: R3m, No. 160

---

Entry 7:
Here is a geometry-optimized Ba4Au5 structure from the Alexandria database. Energies are from GGA-PBE.

a = 9.7337 Å, b = 9.7337 Å, c = 7.4082 Å
α = 90.00°, β = 90.00°, γ = 120.00°
Positions (direct):
1 Ba 0.0000 0.0000 0.0000
2 Ba 0.0000 0.0000 0.5000
3 Ba 0.0000 0.3902 0.2500
4 Ba 0.0000 0.6098 0.7500
5 Ba 0.3902 0.0000 0.2500
6 Ba 0.3902 0.3902 0.7500
7 Ba 0.6098 0.0000 0.7500
8 Ba 0.6098 0.6098 0.2500
9 Au 0.0000 0.2778 0.7500
10 Au 0.0000 0.7222 0.2500
11 Au 0.2778 0.0000 0.7500
12 Au 0.2778 0.2778 0.2500
13 Au 0.3333 0.6667 0.0000
14 Au 0.3333 0.6667 0.5000
15 Au 0.6667 0.3333 0.0000
16 Au 0.6667 0.3333 0.5000
17 Au 0.7222 0.0000 0.2500
18 Au 0.7222 0.7222 0.7500

* relative energy among the computed polymorphs: 0 meV per atom
* energy: -59.109 eV for the cell shown
* space group: P6_3/mcm, No. 193
* energy of formation: -0.609 eV per atom

---

Entry 8:
Here is a geometry-optimized CsBi2I2 structure from the Alexandria database. Energies are from GGA-PBE.

a = 10.8557 Å, b = 10.8557 Å, c = 10.8557 Å
α = 155.50°, β = 155.50°, γ = 34.93°
Positions (direct):
1 Cs 0.0000 0.0000 0.0000
2 Bi 0.2500 0.7500 0.5000
3 Bi 0.7500 0.2500 0.5000
4 I 0.3932 0.3932 0.0000
5 I 0.6068 0.6068 0.0000

* relative energy among the computed polymorphs: 0 meV per atom
* energy: -13.969 eV for the cell shown
* ΔE_f (raw): -0.45 eV per atom
* space group: I4/mmm, No. 139